(1)
Crystalline Er3H2Pb2 at its relaxed geometry. Source: the Alexandria database, functional PBE-GGA.

```
Er3H2Pb2
1.0
6.035 -2.214 0.000
6.035 2.214 0.000
-1.544 0.000 5.645
Er H Pb
3 2 2
Direct
0.000 0.000 0.000
0.284 0.284 0.719
0.716 0.716 0.281
0.162 0.162 0.327
0.838 0.838 0.673
0.404 0.404 0.269
0.596 0.596 0.731
```

Output
Distance to the lowest polymorph of the same formula ... 0.085 eV per atom
Space group ... C2/m, No. 12
Crystal system ... monoclinic

(2)
Crystalline Er8HPb2 at its relaxed geometry. Source: the Alexandria database, functional PBE-GGA.

```
Er8HPb2
1.0
8.827 -2.455 0.000
8.827 2.455 0.000
-0.155 0.000 6.916
Er H Pb
8 1 2
Direct
0.003 0.003 0.245
0.203 0.203 0.275
0.385 0.385 0.995
0.399 0.399 0.496
0.601 0.601 0.504
0.615 0.615 0.005
0.797 0.797 0.725
0.997 0.997 0.755
0.500 0.500 0.000
0.190 0.190 0.759
0.810 0.810 0.241
```

Output
E ... -4.482 eV/atom
Space group ... C2/m, No. 12
Crystal system ... monoclinic

(3)
Crystalline Er4HPb2 at its relaxed geometry. Source: the Alexandria database, functional PBE-GGA.

```
Er4HPb2
1.0
6.304 0.000 0.000
0.000 6.474 0.000
-2.983 0.000 8.569
Er H Pb
8 2 4
Direct
0.038 0.001 0.301
0.038 0.499 0.301
0.361 0.750 0.052
0.432 0.750 0.654
0.568 0.250 0.346
0.639 0.250 0.948
0.962 0.501 0.699
0.962 0.999 0.699
0.206 0.750 0.794
0.794 0.250 0.206
0.187 0.250 0.027
0.354 0.250 0.605
0.646 0.750 0.395
0.813 0.750 0.973
```

Output
Distance to the lowest polymorph of the same formula ... 0.000 eV per atom
Space group ... P2_1/m, No. 11
Crystal system ... monoclinic

(4)
Crystalline Er2H2Pb at its relaxed geometry. Source: the Alexandria database, functional PBE-GGA.

```
Er2H2Pb
1.0
0.000 2.812 5.387
2.802 0.000 5.387
2.802 2.812 0.000
Er H Pb
2 2 1
Direct
0.156 0.156 0.844
0.844 0.844 0.156
0.250 0.250 0.250
0.750 0.750 0.750
0.500 0.500 0.500
```

Output
E ... -4.528 eV/atom
Space group ... Fmmm, No. 69
Crystal system ... orthorhombic

(5)
Crystalline Er3HPb2 at its relaxed geometry. Source: the Alexandria database, functional PBE-GGA.

```
Er3HPb2
1.0
6.905 -3.160 0.000
6.905 3.160 0.000
-1.065 0.000 6.910
Er H Pb
6 2 4
Direct
0.089 0.911 0.750
0.308 0.445 0.352
0.445 0.308 0.852
0.555 0.692 0.148
0.692 0.555 0.648
0.911 0.089 0.250
0.423 0.577 0.750
0.577 0.423 0.250
0.140 0.227 0.042
0.227 0.140 0.542
0.773 0.860 0.458
0.860 0.773 0.958
```

Output
E ... -4.395 eV/atom
Space group ... C2/c, No. 15
Crystal system ... monoclinic

(6)
Crystalline Er4H2Pb5 at its relaxed geometry. Source: the Alexandria database, functional PBE-GGA.

```
Er4H2Pb5
1.0
9.507 -1.799 0.000
9.507 1.799 0.000
-4.294 0.000 8.237
Er H Pb
4 2 5
Direct
0.003 0.003 0.200
0.344 0.344 0.833
0.656 0.656 0.167
0.997 0.997 0.800
0.451 0.451 0.823
0.549 0.549 0.177
0.176 0.176 0.865
0.178 0.178 0.500
0.500 0.500 0.500
0.822 0.822 0.500
0.824 0.824 0.135
```

Output
E ... -4.211 eV/atom
Space group ... C2/m, No. 12
Crystal system ... monoclinic

(7)
Crystalline Er4HPb2 at its relaxed geometry. Source: the Alexandria database, functional PBE-GGA.

```
Er4HPb2
1.0
-2.280 2.280 8.340
2.280 -2.280 8.340
2.280 2.280 -8.340
Er H Pb
4 1 2
Direct
0.000 0.500 0.500
0.174 0.174 0.000
0.500 0.000 0.500
0.826 0.826 0.000
0.000 0.000 0.000
0.361 0.361 0.000
0.639 0.639 0.000
```

Output
Distance to the lowest polymorph of the same formula ... 0.023 eV per atom
Space group ... I4/mmm, No. 139
Crystal system ... tetragonal

(8)
Crystalline Er6HPb5 at its relaxed geometry. Source: the Alexandria database, functional PBE-GGA.

```
Er6HPb5
1.0
4.045 -7.827 0.000
4.045 7.827 0.000
-3.278 0.000 5.192
Er H Pb
6 1 5
Direct
0.078 0.419 0.758
0.186 0.186 0.356
0.419 0.078 0.758
0.581 0.922 0.242
0.814 0.814 0.644
0.922 0.581 0.242
0.000 0.000 0.500
0.160 0.840 0.000
0.346 0.654 0.500
0.500 0.500 0.000
0.654 0.346 0.500
0.840 0.160 0.000
```

Output
E ... -4.412 eV/atom
Space group ... C2/m, No. 12
Crystal system ... monoclinic

(9)
Crystalline ErH6Rh2Pb at its relaxed geometry. Source: the Alexandria database, functional PBE-GGA.

```
ErH6Rh2Pb
1.0
3.880 -4.709 0.000
3.880 4.709 0.000
-1.808 0.000 5.936
Er H Rh Pb
2 12 4 2
Direct
0.107 0.893 0.750
0.893 0.107 0.250
0.029 0.828 0.379
0.092 0.569 0.876
0.172 0.971 0.121
0.277 0.281 0.431
0.281 0.277 0.931
0.431 0.908 0.624
0.569 0.092 0.376
0.719 0.723 0.069
0.723 0.719 0.569
0.828 0.029 0.879
0.908 0.431 0.124
0.971 0.172 0.621
0.180 0.411 0.673
0.411 0.180 0.173
0.589 0.820 0.827
0.820 0.589 0.327
0.351 0.649 0.250
0.649 0.351 0.750
```

Output
E ... -4.490 eV/atom
Space group ... C2/c, No. 15
Crystal system ... monoclinic

(10)
Crystalline ErH8Rh2Pb at its relaxed geometry. Source: the Alexandria database, functional PBE-GGA.

```
ErH8Rh2Pb
1.0
2.058 1.188 8.598
-2.058 1.188 8.598
0.000 -2.376 8.598
Er H Rh Pb
1 8 2 1
Direct
0.000 0.000 0.000
0.085 0.523 0.523
0.188 0.188 0.188
0.477 0.477 0.915
0.477 0.915 0.477
0.523 0.085 0.523
0.523 0.523 0.085
0.812 0.812 0.812
0.915 0.477 0.477
0.255 0.255 0.255
0.745 0.745 0.745
0.500 0.500 0.500
```

Output
E ... -4.165 eV/atom
Space group ... R-3m, No. 166
Crystal system ... trigonal

(11)
Crystalline Er2Tm4H2Pb3 at its relaxed geometry. Source: the Alexandria database, functional PBE-GGA.

```
Er2Tm4H2Pb3
1.0
-2.331 2.331 12.346
2.331 -2.331 12.346
2.331 2.331 -12.346
Er Tm H Pb
2 4 2 3
Direct
0.196 0.196 0.000
0.804 0.804 0.000
0.084 0.584 0.500
0.416 0.916 0.500
0.584 0.084 0.500
0.916 0.416 0.500
0.101 0.101 0.000
0.899 0.899 0.000
0.323 0.323 0.000
0.500 0.500 0.000
0.677 0.677 0.000
```

Output
E ... -4.455 eV/atom
Space group ... I4/mmm, No. 139
Crystal system ... tetragonal

(12)
Crystalline Er2HPd at its relaxed geometry. Source: the Alexandria database, functional PBE-GGA.

```
Er2HPd
1.0
3.284 0.000 0.000
0.000 3.284 0.000
0.000 0.000 6.977
Er H Pd
2 1 1
Direct
0.000 0.000 0.240
0.000 0.000 0.760
0.500 0.500 0.000
0.500 0.500 0.500
```

Output
Distance to the lowest polymorph of the same formula ... 0.000 eV per atom
Space group ... P4/mmm, No. 123
Crystal system ... tetragonal